Material: SnMo2Se4
Method: DFT, GGA-PBE
State: optimized geometry

Lattice parameters (Å, degrees): 15.6529 3.4477 6.0935 90.00 107.72 90.00
Closest atoms and distances in Å follow each position.
Space group C2/m (No. 12)
Unique sites:
Sn 0.0000 0.0000 0.0000  6 Se 3.03-3.05
Mo 0.2449 0.5000 0.6796  6 Se 2.53-2.69, 2 Mo 2.83
Se 0.1260 0.0000 0.4885  3 Mo 2.53-2.54
Se 0.1616 0.5000 0.0062  3 Mo 2.66-2.69

***

Material: AcCoSi
Method: DFT, GGA-PBE
State: optimized geometry

Lattice parameters (Å, degrees): 6.4608 6.4608 6.4608 90.00 90.00 90.00
Closest atoms and distances in Å follow each position.
Space group F-43m (No. 216)
Unique sites:
Ac 0.0000 0.0000 0.0000  4 Co 2.80
Co 0.2500 0.2500 0.2500  4 Ac 2.80, 4 Si 2.80
Si 0.0000 0.0000 0.5000  4 Co 2.80

Computed properties:
Energy above the lowest structure with this stoichiometry ... 557 meV per atom

***

Material: LiTlNiAg
Method: DFT, GGA-PBE
State: optimized geometry

Lattice parameters (Å, degrees): 6.3482 6.3482 6.3482 90.00 90.00 90.00
Closest atoms and distances in Å follow each position.
Space group F-43m (No. 216)
Unique sites:
Li 0.0000 0.0000 0.0000  4 Ag 2.75, 4 Tl 2.75
Tl 0.2500 0.2500 0.2500  4 Li 2.75, 4 Ni 2.75
Ni 0.0000 0.0000 0.5000  4 Tl 2.75, 4 Ag 2.75
Ag 0.2500 0.2500 0.7500  4 Ni 2.75, 4 Li 2.75

***

Material: LiHfHg
Method: DFT, GGA-PBE
State: optimized geometry

Lattice parameters (Å, degrees): 6.5048 6.5048 6.5048 90.00 90.00 90.00
Closest atoms and distances in Å follow each position.
Space group F-43m (No. 216)
Unique sites:
Li 0.0000 0.0000 0.0000  4 Hf 2.82
Hf 0.2500 0.2500 0.7500  4 Hg 2.82, 4 Li 2.82
Hg 0.0000 0.0000 0.5000  4 Hf 2.82

Computed properties:
Energy above the lowest structure with this stoichiometry ... 810 meV per atom

***

Material: SiNiB2
Method: DFT, GGA-PBE
State: optimized geometry

Lattice parameters (Å, degrees): 5.3263 5.3263 5.3263 90.00 90.00 90.00
Closest atoms and distances in Å follow each position.
Space group F-43m (No. 216)
Unique sites:
Si 0.0000 0.0000 0.0000  4 Ni 2.31, 4 B 2.31
Ni 0.2500 0.2500 0.7500  4 B 2.31, 4 Si 2.31
B 0.0000 0.0000 0.5000  4 Ni 2.31, 4 B 2.31
B 0.2500 0.2500 0.2500  4 B 2.31, 4 Si 2.31

***

Material: TbTmZnTe3
Method: DFT, GGA-PBE
State: optimized geometry

Lattice parameters (Å, degrees): 4.1250 15.0349 10.4843 90.00 90.00 90.00
Closest atoms and distances in Å follow each position.
Space group Cmcm (No. 63)
Unique sites:
Tb 0.0000 0.2236 0.2500  6 Te 3.15-3.18
Tm 0.0000 0.0000 0.0000  6 Te 3.10-3.14, 4 Zn 3.35
Zn 0.0000 0.4780 0.7500  4 Te 2.85-2.92
Te 0.0000 0.1156 0.7500  2 Zn 2.92, 2 Tm 3.14, 2 Tb 3.18
Te 0.0000 0.3501 0.5488  1 Zn 2.85, 2 Tm 3.10, 2 Tb 3.15

***

| no. | spin magnetization (μB per formula unit) | E (eV per atom) |
| --- | --- | --- |
| 1 | 0.005 | -6.111 |
| 2 | 1.310 | -5.570 |
| 3 | 0.001 | -3.208 |
| 4 | 0.023 | -3.452 |
| 5 | 0.000 | -5.069 |
| 6 | 0.006 | -4.223 |